Below is a relaxed structure of K4LiU3N8, with properties calculated at the GGA-PBE level.

Output
E_tot ... -119.22 eV for the cell shown
Formation energy without anion corrections ... -778 meV/atom
Space group ... R-3m, No. 166
V ... 269 Å³/cell

a = 7.521 Å, b = 7.521 Å, c = 7.521 Å
α = 55.40°, β = 55.40°, γ = 55.40°
Element x y z (fractional)
1 K 0.000 0.000 0.000
2 K 0.000 0.500 0.500
3 K 0.500 0.000 0.500
4 K 0.500 0.500 0.000
5 Li 0.500 0.500 0.500
6 U 0.000 0.000 0.500
7 U 0.000 0.500 0.000
8 U 0.500 0.000 0.000
9 N 0.180 0.740 0.740
10 N 0.223 0.223 0.223
11 N 0.260 0.260 0.820
12 N 0.260 0.820 0.260
13 N 0.740 0.180 0.740
14 N 0.740 0.740 0.180
15 N 0.777 0.777 0.777
16 N 0.820 0.260 0.260